Run A
# Pu2HgAu, relaxed, DFT PBE-GGA
data_Pu2HgAu
_chemical_formula_sum 'Pu8 Hg4 Au4'
_cell_length_a 7.400
_cell_length_b 7.400
_cell_length_c 7.400
_cell_angle_alpha 90.00
_cell_angle_beta 90.00
_cell_angle_gamma 90.00
_space_group_name_H-M_alt 'F m -3 m'
_space_group_IT_number 225
_space_group_name_Hall '-F 4 2 3'
loop_
_atom_site_label
_atom_site_type_symbol
_atom_site_fract_x
_atom_site_fract_y
_atom_site_fract_z
Pu1 Pu 0.250 0.250 0.250
Hg1 Hg 0.000 0.000 0.000
Au1 Au 0.000 0.000 0.500
# Calculated volume (Å³/atom): 25.3
# N(E_F) (states/eV per cell): 67.915

---

Run B
# Pu2HgAu, relaxed, DFT PBE-GGA
data_Pu2HgAu
_chemical_formula_sum 'Pu6 Hg3 Au3'
_cell_length_a 3.4275
_cell_length_b 3.4275
_cell_length_c 30.0860
_cell_angle_alpha 90.00
_cell_angle_beta 90.00
_cell_angle_gamma 120.00
_space_group_name_H-M_alt 'R 3 m'
_space_group_IT_number 160
_space_group_name_Hall 'R 3 -2"'
loop_
_atom_site_label
_atom_site_type_symbol
_atom_site_fract_x
_atom_site_fract_y
_atom_site_fract_z
Pu1 Pu 0.0000 0.0000 0.0000
Pu2 Pu 0.0000 0.0000 0.1746
Hg1 Hg 0.0000 0.0000 0.4206
Au1 Au 0.0000 0.0000 0.5873
# Calculated volume (Å³/atom): 25.5
# N(E_F) (states/eV per cell): 50.524

---

Run C
# Pu2HgAu, relaxed, DFT PBE-GGA
data_Pu2HgAu
_chemical_formula_sum 'Pu2 Hg1 Au1'
_cell_length_a 3.891
_cell_length_b 3.891
_cell_length_c 6.581
_cell_angle_alpha 90.00
_cell_angle_beta 90.00
_cell_angle_gamma 90.00
_space_group_name_H-M_alt 'P 4/m m m'
_space_group_IT_number 123
_space_group_name_Hall '-P 4 2'
loop_
_atom_site_label
_atom_site_type_symbol
_atom_site_fract_x
_atom_site_fract_y
_atom_site_fract_z
Pu1 Pu 0.000 0.000 0.238
Hg1 Hg 0.500 0.500 0.500
Au1 Au 0.500 0.500 0.000
# Calculated volume (Å³/atom): 24.9
# N(E_F) (states/eV per cell): 16.792

---

Least stable: run B

---

Run A
# Pu2HgAu, relaxed, DFT PBE-GGA
data_Pu2HgAu
_chemical_formula_sum 'Pu6 Hg3 Au3'
_cell_length_a 3.4346
_cell_length_b 3.4346
_cell_length_c 30.1188
_cell_angle_alpha 90.00
_cell_angle_beta 90.00
_cell_angle_gamma 120.00
_space_group_name_H-M_alt 'R -3 m'
_space_group_IT_number 166
_space_group_name_Hall '-R 3 2"'
loop_
_atom_site_label
_atom_site_type_symbol
_atom_site_fract_x
_atom_site_fract_y
_atom_site_fract_z
Pu1 Pu 0.0000 0.0000 0.2457
Hg1 Hg 0.0000 0.0000 0.0000
Au1 Au 0.0000 0.0000 0.5000
# Calculated volume (Å³/atom): 25.6
# N(E_F) (states/eV per cell): 51.319

---

Run B
# Pu2HgAu, relaxed, DFT PBE-GGA
data_Pu2HgAu
_chemical_formula_sum 'Pu2 Hg1 Au1'
_cell_length_a 5.574
_cell_length_b 5.574
_cell_length_c 3.193
_cell_angle_alpha 90.00
_cell_angle_beta 90.00
_cell_angle_gamma 90.00
_space_group_name_H-M_alt 'P 4/m m m'
_space_group_IT_number 123
_space_group_name_Hall '-P 4 2'
loop_
_atom_site_label
_atom_site_type_symbol
_atom_site_fract_x
_atom_site_fract_y
_atom_site_fract_z
Pu1 Pu 0.000 0.500 0.000
Hg1 Hg 0.000 0.000 0.500
Au1 Au 0.500 0.500 0.500
# Calculated volume (Å³/atom): 24.8
# N(E_F) (states/eV per cell): 16.770

---

Least stable: run A

---

Run A
# Pu3Hg3Au2, relaxed, DFT PBE-GGA
data_Pu3Hg3Au2
_chemical_formula_sum 'Pu6 Hg6 Au4'
_cell_length_a 17.142
_cell_length_b 4.766
_cell_length_c 4.903
_cell_angle_alpha 90.00
_cell_angle_beta 106.46
_cell_angle_gamma 90.00
_space_group_name_H-M_alt 'C 1 2/m 1'
_space_group_IT_number 12
_space_group_name_Hall '-C 2y'
loop_
_atom_site_label
_atom_site_type_symbol
_atom_site_fract_x
_atom_site_fract_y
_atom_site_fract_z
Pu1 Pu 0.000 0.000 0.000
Pu2 Pu 0.136 0.000 0.637
Hg1 Hg 0.000 0.500 0.500
Hg2 Hg 0.136 0.500 0.136
Au1 Au 0.244 0.000 0.244
# Calculated volume (Å³/atom): 24.0
# N(E_F) (states/eV per cell): 56.242

---

Run B
# Pu3Hg3Au2, relaxed, DFT PBE-GGA
data_Pu3Hg3Au2
_chemical_formula_sum 'Pu3 Hg3 Au2'
_cell_length_a 7.9476
_cell_length_b 7.9476
_cell_length_c 3.7252
_cell_angle_alpha 90.00
_cell_angle_beta 90.00
_cell_angle_gamma 120.00
_space_group_name_H-M_alt 'P -6 2 m'
_space_group_IT_number 189
_space_group_name_Hall 'P -6 -2'
loop_
_atom_site_label
_atom_site_type_symbol
_atom_site_fract_x
_atom_site_fract_y
_atom_site_fract_z
Pu1 Pu 0.0000 0.5938 0.0000
Hg1 Hg 0.0000 0.2296 0.5000
Au1 Au 0.3333 0.6667 0.5000
# Calculated volume (Å³/atom): 25.5
# N(E_F) (states/eV per cell): 36.151

---

Least stable: run A